Entry 1:
Density functional theory data (PBE-GGA) for a relaxed structure of UTiTe4.

Geometry as CIF:
```
data_UTiTe4
_cell_length_a 15.5760
_cell_length_b 4.0358
_cell_length_c 7.0003
_cell_angle_alpha 90.00
_cell_angle_beta 115.79
_cell_angle_gamma 90.00
_space_group_name_H-M_alt 'C 1 2/m 1'
_space_group_IT_number 12
_space_group_name_Hall '-C 2y'
loop_
_atom_site_label
_atom_site_fract_x
_atom_site_fract_y
_atom_site_fract_z
_atom_site_occupancy
U1 0.0000 0.0000 0.0000 1
Ti1 0.0000 0.5000 0.5000 1
Te1 0.1210 0.0000 0.7669 1
Te2 0.1284 0.5000 0.3136 1
```

Calculated values
- Formation energy without anion corrections: -0.606 eV per atom
- Volume: 396.23 Å³/cell

---

Entry 2:
Density functional theory data (PBE-GGA) for a relaxed structure of TiVTe3.

Geometry as CIF:
```
data_TiVTe3
_cell_length_a 5.3110
_cell_length_b 5.3110
_cell_length_c 5.3110
_cell_angle_alpha 90.00
_cell_angle_beta 90.00
_cell_angle_gamma 90.00
_space_group_name_H-M_alt 'P m -3 m'
_space_group_IT_number 221
_space_group_name_Hall '-P 4 2 3'
loop_
_atom_site_label
_atom_site_fract_x
_atom_site_fract_y
_atom_site_fract_z
_atom_site_occupancy
Ti1 0.0000 0.0000 0.0000 1
V1 0.5000 0.5000 0.5000 1
Te1 0.0000 0.0000 0.5000 1
```

Calculated values
- Formation energy without anion corrections: 0.358 eV per atom
- E above lowest polymorph: 3.36 eV per formula unit
- Volume: 149.81 Å³/cell

---

Entry 3:
Density functional theory data (PBE-GGA) for a relaxed structure of Ti2VTe6.

Geometry as CIF:
```
data_Ti2VTe6
_cell_length_a 6.8011
_cell_length_b 7.0782
_cell_length_c 11.2630
_cell_angle_alpha 90.00
_cell_angle_beta 124.32
_cell_angle_gamma 90.00
_space_group_name_H-M_alt 'P 1 21/c 1'
_space_group_IT_number 14
_space_group_name_Hall '-P 2ybc'
loop_
_atom_site_label
_atom_site_fract_x
_atom_site_fract_y
_atom_site_fract_z
_atom_site_occupancy
Ti1 0.2197 0.1474 0.2536 1
V1 0.0000 0.0000 0.5000 1
Te1 0.0807 0.1629 0.9207 1
Te2 0.2743 0.6724 0.9259 1
Te3 0.4184 0.0149 0.7582 1
```

Calculated values
- Formation energy without anion corrections: -0.406 eV per atom
- E above lowest polymorph: 1.41 eV per formula unit
- Volume: 447.82 Å³/cell

---

Entry 4:
Density functional theory data (PBE-GGA) for a relaxed structure of TiV2Te6.

Geometry as CIF:
```
data_TiV2Te6
_cell_length_a 14.8097
_cell_length_b 3.6645
_cell_length_c 11.1777
_cell_angle_alpha 90.00
_cell_angle_beta 122.83
_cell_angle_gamma 90.00
_space_group_name_H-M_alt 'C 1 2/m 1'
_space_group_IT_number 12
_space_group_name_Hall '-C 2y'
loop_
_atom_site_label
_atom_site_fract_x
_atom_site_fract_y
_atom_site_fract_z
_atom_site_occupancy
Ti1 0.0000 0.0000 0.0000 1
V1 0.1711 0.5000 0.3448 1
Te1 0.0092 0.0000 0.2532 1
Te2 0.1637 0.5000 0.0896 1
Te3 0.1718 0.5000 0.5845 1
```

Calculated values
- Formation energy without anion corrections: -0.439 eV per atom
- E above lowest polymorph: 0.00 eV per formula unit
- Volume: 509.75 Å³/cell

---

Entry 5:
Density functional theory data (PBE-GGA) for a relaxed structure of TiV3Te8.

Geometry as CIF:
```
data_TiV3Te8
_cell_length_a 12.6268
_cell_length_b 7.3100
_cell_length_c 8.4810
_cell_angle_alpha 90.00
_cell_angle_beta 120.40
_cell_angle_gamma 90.00
_space_group_name_H-M_alt 'C 1 2/m 1'
_space_group_IT_number 12
_space_group_name_Hall '-C 2y'
loop_
_atom_site_label
_atom_site_fract_x
_atom_site_fract_y
_atom_site_fract_z
_atom_site_occupancy
Ti1 0.0000 0.0000 0.0000 1
V1 0.0000 0.5000 0.0000 1
V2 0.2500 0.2500 0.0000 1
Te1 0.0028 0.2526 0.7609 1
Te2 0.2464 0.5000 0.2343 1
Te3 0.2498 0.0000 0.2391 1
```

Calculated values
- Formation energy without anion corrections: -0.406 eV per atom
- Volume: 675.21 Å³/cell

---

Entry 6:
Density functional theory data (PBE-GGA) for a relaxed structure of TiV2Te6.

Geometry as CIF:
```
data_TiV2Te6
_cell_length_a 12.8166
_cell_length_b 5.0193
_cell_length_c 9.3257
_cell_angle_alpha 90.00
_cell_angle_beta 118.32
_cell_angle_gamma 90.00
_space_group_name_H-M_alt 'C 1 2/m 1'
_space_group_IT_number 12
_space_group_name_Hall '-C 2y'
loop_
_atom_site_label
_atom_site_fract_x
_atom_site_fract_y
_atom_site_fract_z
_atom_site_occupancy
Ti1 0.0000 0.0000 0.0000 1
V1 0.1557 0.0000 0.5817 1
Te1 0.0251 0.0000 0.7271 1
Te2 0.1440 0.5000 0.1152 1
Te3 0.1983 0.5000 0.5625 1
```

Calculated values
- Formation energy without anion corrections: -0.170 eV per atom
- E above lowest polymorph: 2.42 eV per formula unit
- Volume: 528.13 Å³/cell

---

Entry 7:
Density functional theory data (PBE-GGA) for a relaxed structure of TiVTe.

Geometry as CIF:
```
data_TiVTe
_cell_length_a 3.4638
_cell_length_b 3.4638
_cell_length_c 8.6103
_cell_angle_alpha 90.00
_cell_angle_beta 90.00
_cell_angle_gamma 90.00
_space_group_name_H-M_alt 'I 4 m m'
_space_group_IT_number 107
_space_group_name_Hall 'I 4 -2'
loop_
_atom_site_label
_atom_site_fract_x
_atom_site_fract_y
_atom_site_fract_z
_atom_site_occupancy
Ti1 0.0000 0.0000 0.0000 1
V1 0.0000 0.0000 0.6519 1
Te1 0.0000 0.0000 0.3239 1
```

Calculated values
- Formation energy without anion corrections: -0.146 eV per atom
- Volume: 103.31 Å³/cell

---

Entry 8:
Density functional theory data (PBE-GGA) for a relaxed structure of Ti2VTe5.

Geometry as CIF:
```
data_Ti2VTe5
_cell_length_a 4.9745
_cell_length_b 13.1018
_cell_length_c 14.4389
_cell_angle_alpha 90.00
_cell_angle_beta 90.00
_cell_angle_gamma 90.00
_space_group_name_H-M_alt 'F m m m'
_space_group_IT_number 69
_space_group_name_Hall '-F 2 2'
loop_
_atom_site_label
_atom_site_fract_x
_atom_site_fract_y
_atom_site_fract_z
_atom_site_occupancy
Ti1 0.0000 0.0000 0.1927 1
V1 0.0000 0.0000 0.5000 1
Te1 0.0000 0.0000 0.0000 1
Te2 0.0000 0.1324 0.3450 1
```

Calculated values
- Formation energy without anion corrections: -0.341 eV per atom
- E above lowest polymorph: 0.69 eV per formula unit
- Volume: 941.04 Å³/cell

---

Entry 9:
Density functional theory data (PBE-GGA) for a relaxed structure of TiV3Te.

Geometry as CIF:
```
data_TiV3Te
_cell_length_a 4.4901
_cell_length_b 4.4901
_cell_length_c 4.4901
_cell_angle_alpha 90.00
_cell_angle_beta 90.00
_cell_angle_gamma 90.00
_space_group_name_H-M_alt 'P m -3 m'
_space_group_IT_number 221
_space_group_name_Hall '-P 4 2 3'
loop_
_atom_site_label
_atom_site_fract_x
_atom_site_fract_y
_atom_site_fract_z
_atom_site_occupancy
Ti1 0.0000 0.0000 0.0000 1
V1 0.0000 0.0000 0.5000 1
Te1 0.5000 0.5000 0.5000 1
```

Calculated values
- Formation energy without anion corrections: 1.088 eV per atom
- E above lowest polymorph: 0.00 eV per formula unit
- Volume: 90.52 Å³/cell

---

Entry 10:
Density functional theory data (PBE-GGA) for a relaxed structure of Ti2VTe5.

Geometry as CIF:
```
data_Ti2VTe5
_cell_length_a 5.4994
_cell_length_b 13.3511
_cell_length_c 12.7018
_cell_angle_alpha 90.00
_cell_angle_beta 90.00
_cell_angle_gamma 90.00
_space_group_name_H-M_alt 'C m c m'
_space_group_IT_number 63
_space_group_name_Hall '-C 2c 2'
loop_
_atom_site_label
_atom_site_fract_x
_atom_site_fract_y
_atom_site_fract_z
_atom_site_occupancy
Ti1 0.0000 0.1667 0.0422 1
V1 0.0000 0.1944 0.7500 1
Te1 0.0000 0.0372 0.6187 1
Te2 0.0000 0.2524 0.2500 1
Te3 0.0000 0.3339 0.5836 1
```

Calculated values
- Formation energy without anion corrections: -0.427 eV per atom
- E above lowest polymorph: 0.00 eV per formula unit
- Volume: 932.61 Å³/cell

---

Entry 11:
Density functional theory data (PBE-GGA) for a relaxed structure of TiV2Te2.

Geometry as CIF:
```
data_TiV2Te2
_cell_length_a 5.0547
_cell_length_b 5.0547
_cell_length_c 7.9258
_cell_angle_alpha 90.00
_cell_angle_beta 90.00
_cell_angle_gamma 90.00
_space_group_name_H-M_alt 'I 4/m m m'
_space_group_IT_number 139
_space_group_name_Hall '-I 4 2'
loop_
_atom_site_label
_atom_site_fract_x
_atom_site_fract_y
_atom_site_fract_z
_atom_site_occupancy
Ti1 0.0000 0.0000 0.0000 1
V1 0.0000 0.0000 0.3803 1
Te1 0.0000 0.5000 0.2500 1
```

Calculated values
- Formation energy without anion corrections: 0.161 eV per atom
- E above lowest polymorph: 0.06 eV per formula unit
- Volume: 202.50 Å³/cell

---

Entry 12:
Density functional theory data (PBE-GGA) for a relaxed structure of Ti3VTe6.

Geometry as CIF:
```
data_Ti3VTe6
_cell_length_a 11.4585
_cell_length_b 11.4585
_cell_length_c 14.4595
_cell_angle_alpha 90.00
_cell_angle_beta 90.00
_cell_angle_gamma 120.00
_space_group_name_H-M_alt 'R -3'
_space_group_IT_number 148
_space_group_name_Hall '-R 3'
loop_
_atom_site_label
_atom_site_fract_x
_atom_site_fract_y
_atom_site_fract_z
_atom_site_occupancy
Ti1 0.0423 0.5990 0.3627 1
V1 0.0000 0.0000 0.0000 1
V2 0.0000 0.0000 0.5000 1
Te1 0.0120 0.8086 0.8859 1
Te2 0.0340 0.8406 0.3742 1
```

Calculated values
- Formation energy without anion corrections: -0.435 eV per atom
- Volume: 1644.15 Å³/cell

---

Entry 13:
Density functional theory data (PBE-GGA) for a relaxed structure of TiV2Te.

Geometry as CIF:
```
data_TiV2Te
_cell_length_a 3.8643
_cell_length_b 3.8643
_cell_length_c 18.9434
_cell_angle_alpha 90.00
_cell_angle_beta 90.00
_cell_angle_gamma 90.00
_space_group_name_H-M_alt 'I -4 2 d'
_space_group_IT_number 122
_space_group_name_Hall 'I -4 2bw'
loop_
_atom_site_label
_atom_site_fract_x
_atom_site_fract_y
_atom_site_fract_z
_atom_site_occupancy
Ti1 0.0000 0.0000 0.0000 1
V1 0.2412 0.2500 0.6250 1
Te1 0.0000 0.0000 0.5000 1
```

Calculated values
- Formation energy without anion corrections: 0.322 eV per atom
- Volume: 282.87 Å³/cell

---

Entry 14:
Density functional theory data (PBE-GGA) for a relaxed structure of TiVTe3.

Geometry as CIF:
```
data_TiVTe3
_cell_length_a 3.4115
_cell_length_b 12.5067
_cell_length_c 7.0388
_cell_angle_alpha 90.00
_cell_angle_beta 90.00
_cell_angle_gamma 90.00
_space_group_name_H-M_alt 'A m m 2'
_space_group_IT_number 38
_space_group_name_Hall 'A 2 -2'
loop_
_atom_site_label
_atom_site_fract_x
_atom_site_fract_y
_atom_site_fract_z
_atom_site_occupancy
Ti1 0.0000 0.0000 0.0000 1
V1 0.5000 0.0000 0.3110 1
Te1 0.0000 0.1628 0.2539 1
Te2 0.5000 0.0000 0.7021 1
```

Calculated values
- Formation energy without anion corrections: -0.315 eV per atom
- E above lowest polymorph: 0.00 eV per formula unit
- Volume: 300.32 Å³/cell

---

Entry 15:
Density functional theory data (PBE-GGA) for a relaxed structure of TiV3Te.

Geometry as CIF:
```
data_TiV3Te
_cell_length_a 4.7765
_cell_length_b 4.7765
_cell_length_c 4.7765
_cell_angle_alpha 90.00
_cell_angle_beta 90.00
_cell_angle_gamma 90.00
_space_group_name_H-M_alt 'P m -3 m'
_space_group_IT_number 221
_space_group_name_Hall '-P 4 2 3'
loop_
_atom_site_label
_atom_site_fract_x
_atom_site_fract_y
_atom_site_fract_z
_atom_site_occupancy
Ti1 0.0000 0.0000 0.0000 1
V1 0.0000 0.5000 0.5000 1
Te1 0.5000 0.5000 0.5000 1
```

Calculated values
- Formation energy without anion corrections: 1.297 eV per atom
- E above lowest polymorph: 1.05 eV per formula unit
- Volume: 108.97 Å³/cell

---

Entry 16:
Density functional theory data (PBE-GGA) for a relaxed structure of TiV2Te3.

Geometry as CIF:
```
data_TiV2Te3
_cell_length_a 20.5908
_cell_length_b 3.6741
_cell_length_c 7.6098
_cell_angle_alpha 90.00
_cell_angle_beta 96.71
_cell_angle_gamma 90.00
_space_group_name_H-M_alt 'C 1 2/m 1'
_space_group_IT_number 12
_space_group_name_Hall '-C 2y'
loop_
_atom_site_label
_atom_site_fract_x
_atom_site_fract_y
_atom_site_fract_z
_atom_site_occupancy
Ti1 0.1476 0.0000 0.0640 1
V1 0.0404 0.5000 0.1371 1
V2 0.2129 0.0000 0.4383 1
Te1 0.0830 0.0000 0.3700 1
Te2 0.0875 0.5000 0.8267 1
Te3 0.2475 0.0000 0.7918 1
```

Calculated values
- Formation energy without anion corrections: -0.239 eV per atom
- Volume: 571.76 Å³/cell

---

Entry 17:
Density functional theory data (PBE-GGA) for a relaxed structure of Ti2VTe6.

Geometry as CIF:
```
data_Ti2VTe6
_cell_length_a 15.2719
_cell_length_b 3.7208
_cell_length_c 9.4964
_cell_angle_alpha 90.00
_cell_angle_beta 112.35
_cell_angle_gamma 90.00
_space_group_name_H-M_alt 'C 1 2/m 1'
_space_group_IT_number 12
_space_group_name_Hall '-C 2y'
loop_
_atom_site_label
_atom_site_fract_x
_atom_site_fract_y
_atom_site_fract_z
_atom_site_occupancy
Ti1 0.1638 0.0000 0.3282 1
V1 0.0000 0.5000 0.0000 1
Te1 0.0250 0.5000 0.3028 1
Te2 0.1371 0.0000 0.0255 1
Te3 0.1947 0.0000 0.6384 1
```

Calculated values
- Formation energy without anion corrections: -0.562 eV per atom
- E above lowest polymorph: 0.00 eV per formula unit
- Volume: 499.09 Å³/cell

---

Entry 18:
Density functional theory data (PBE-GGA) for a relaxed structure of Ti2V2Te7.

Geometry as CIF:
```
data_Ti2V2Te7
_cell_length_a 7.2099
_cell_length_b 12.3295
_cell_length_c 7.2771
_cell_angle_alpha 90.00
_cell_angle_beta 101.86
_cell_angle_gamma 90.00
_space_group_name_H-M_alt 'C 1 2/m 1'
_space_group_IT_number 12
_space_group_name_Hall '-C 2y'
loop_
_atom_site_label
_atom_site_fract_x
_atom_site_fract_y
_atom_site_fract_z
_atom_site_occupancy
Ti1 0.0000 0.1943 0.0000 1
V1 0.1552 0.0000 0.6039 1
Te1 0.0000 0.5000 0.5000 1
Te2 0.1342 0.0000 0.2070 1
Te3 0.2313 0.2011 0.7415 1
```

Calculated values
- Formation energy without anion corrections: -0.241 eV per atom
- Volume: 633.07 Å³/cell

---

Entry 19:
Density functional theory data (PBE-GGA) for a relaxed structure of TiV3Te6.

Geometry as CIF:
```
data_TiV3Te6
_cell_length_a 11.3668
_cell_length_b 3.7271
_cell_length_c 11.5731
_cell_angle_alpha 90.00
_cell_angle_beta 110.58
_cell_angle_gamma 90.00
_space_group_name_H-M_alt 'P 1 21/m 1'
_space_group_IT_number 11
_space_group_name_Hall '-P 2yb'
loop_
_atom_site_label
_atom_site_fract_x
_atom_site_fract_y
_atom_site_fract_z
_atom_site_occupancy
Ti1 0.0643 0.2500 0.1964 1
V1 0.1124 0.2500 0.5587 1
V2 0.3221 0.7500 0.9918 1
V3 0.4592 0.2500 0.3857 1
Te1 0.0916 0.7500 0.3886 1
Te2 0.1122 0.2500 0.9683 1
Te3 0.1720 0.7500 0.7443 1
Te4 0.2841 0.7500 0.2235 1
Te5 0.3652 0.2500 0.5676 1
Te6 0.4903 0.2500 0.1268 1
```

Calculated values
- Formation energy without anion corrections: -0.239 eV per atom
- Volume: 458.99 Å³/cell

---

Entry 20:
Density functional theory data (PBE-GGA) for a relaxed structure of TiV2Te2.

Geometry as CIF:
```
data_TiV2Te2
_cell_length_a 7.2537
_cell_length_b 7.2537
_cell_length_c 3.5082
_cell_angle_alpha 90.00
_cell_angle_beta 90.00
_cell_angle_gamma 90.00
_space_group_name_H-M_alt 'P 4/m b m'
_space_group_IT_number 127
_space_group_name_Hall '-P 4 2ab'
loop_
_atom_site_label
_atom_site_fract_x
_atom_site_fract_y
_atom_site_fract_z
_atom_site_occupancy
Ti1 0.0000 0.0000 0.0000 1
V1 0.1273 0.3727 0.0000 1
Te1 0.1703 0.6703 0.5000 1
```

Calculated values
- Formation energy without anion corrections: 0.149 eV per atom
- E above lowest polymorph: 0.00 eV per formula unit
- Volume: 184.59 Å³/cell

---

| no. | ρ (g cm⁻³) |
| --- | --- |
| 1 | 6.7 |
| 2 | 5.3 |
| 3 | 6.8 |
| 4 | 6.0 |
| 5 | 6.0 |
| 6 | 5.8 |
| 7 | 7.3 |
| 8 | 5.5 |
| 9 | 6.0 |
| 10 | 5.6 |
| 11 | 6.6 |
| 12 | 5.8 |
| 13 | 6.5 |
| 14 | 5.3 |
| 15 | 5.0 |
| 16 | 6.2 |
| 17 | 6.1 |
| 18 | 5.7 |
| 19 | 7.0 |
| 20 | 7.3 |